Compound: ScIn2FeF
Source: Alexandria via LeMat-Bulk
Functional: GGA+U
Structure: optimized geometry

As for the space group: P4/mmm, No. 123. For the uncorrected energy, the calculation gives -4.28 eV/atom. The value obtained for the density of states at the Fermi level is 2.57 states/eV/cell.

Geometry as POSCAR:
```
ScIn2FeF
1.0
-3.864 -3.156 1.326
0.419 -1.963 -3.448
3.380 -3.200 2.233
Fe In F Sc
1 2 1 1
Cartesian
0.210 -0.981 -1.724 Fe
-1.932 -1.578 0.663 In
1.690 -1.600 1.117 In
0.000 0.000 0.000 F
-0.033 -4.159 0.056 Sc
```